{"formula": "Re2AsAu", "functional": "PBE-GGA", "state": "optimized geometry", "lattice_angstrom": [[3.046, 0.000, 0.000], [0.000, 3.046, 0.000], [0.000, 0.000, 6.695]], "species": ["Re", "Re", "As", "Au"], "fractional_positions": [[0.000, 0.000, 0.215], [0.000, 0.000, 0.785], [0.500, 0.500, 0.000], [0.500, 0.500, 0.500]], "e_form_mev_per_atom": 510, "sg": "P4/mmm, No. 123", "dft_energy_ha_per_atom": -0.2828}



{"formula": "Re2AsAu", "functional": "PBE-GGA", "state": "optimized geometry", "lattice_angstrom": [[9.216, 0.000, 0.000], [0.000, 2.945, 0.000], [-0.486, 0.000, 4.853]], "species": ["Re", "Re", "Re", "Re", "As", "As", "Au", "Au"], "fractional_positions": [[0.000, 0.000, 0.000], [0.233, 0.500, 0.188], [0.500, 0.500, 0.000], [0.733, 0.000, 0.188], [0.481, 0.000, 0.411], [0.981, 0.500, 0.411], [0.257, 0.000, 0.708], [0.757, 0.500, 0.708]], "e_form_mev_per_atom": 518, "sg": "Cm, No. 8", "dft_energy_ha_per_atom": -0.2825}



{"formula": "Re2AsAu", "functional": "PBE-GGA", "state": "optimized geometry", "lattice_angstrom": [[3.807, 0.000, 0.000], [0.000, 3.807, 0.000], [0.000, 0.000, 19.448]], "species": ["Re", "Re", "Re", "Re", "Re", "Re", "Re", "Re", "As", "As", "As", "As", "Au", "Au", "Au", "Au"], "fractional_positions": [[0.201, 0.250, 0.125], [0.250, 0.701, 0.375], [0.250, 0.799, 0.875], [0.299, 0.250, 0.625], [0.701, 0.750, 0.625], [0.750, 0.201, 0.875], [0.750, 0.299, 0.375], [0.799, 0.750, 0.125], [0.000, 0.000, 0.000], [0.000, 0.500, 0.250], [0.500, 0.000, 0.750], [0.500, 0.500, 0.500], [0.000, 0.000, 0.500], [0.000, 0.500, 0.750], [0.500, 0.000, 0.250], [0.500, 0.500, 0.000]], "e_form_mev_per_atom": 781, "sg": "I-42d, No. 122", "dft_energy_ha_per_atom": -0.2729}